A relaxed CrIN3 crystal. Source: the Alexandria database, functional PBE-GGA.

Cell and atoms, written as POSCAR:
```
CrIN3
1.0
3.8404 0.0000 0.0000
0.0000 3.8404 0.0000
0.0000 0.0000 3.8404
Cr I N
1 1 3
direct
0.0000 0.0000 0.0000
0.5000 0.5000 0.5000
0.0000 0.0000 0.5000
0.0000 0.5000 0.0000
0.5000 0.0000 0.0000
```

Values from the calculation:
* energy relative to the elements, uncorrected: 1.291 eV/atom


A relaxed Dy3Y5Tm4 crystal. Source: the Alexandria database, functional PBE-GGA.

Cell and atoms, written as POSCAR:
```
Dy3Y5Tm4
1.0
8.0244 -2.9120 0.0000
8.0244 2.9120 0.0000
-4.1228 0.0000 8.2301
Dy Y Tm
3 5 4
direct
0.0000 0.0000 0.0000
0.2920 0.2920 0.7712
0.7080 0.7080 0.2288
0.0754 0.0754 0.7020
0.1734 0.1734 0.3864
0.5000 0.5000 0.0000
0.8266 0.8266 0.6136
0.9246 0.9246 0.2980
0.2863 0.2863 0.1224
0.4198 0.4198 0.5607
0.5802 0.5802 0.4393
0.7137 0.7137 0.8776
```

Values from the calculation:
* E_form: 0.250 eV/atom
* ΔE to the lowest computed polymorph: 259 kJ/mol of formula units


A relaxed ZnOsRu2 crystal. Source: the Alexandria database, functional PBE-GGA.

Cell and atoms, written as POSCAR:
```
ZnOsRu2
1.0
4.4630 0.0000 0.0000
0.0000 4.4630 0.0000
0.0000 0.0000 2.8559
Zn Os Ru
1 1 2
direct
0.0000 0.0000 0.0000
0.5000 0.5000 0.0000
0.0000 0.5000 0.5000
0.5000 0.0000 0.5000
```

Values from the calculation:
* E_form: 0.311 eV/atom


A relaxed BeGaCo3 crystal. Source: the Alexandria database, functional PBE-GGA.

Cell and atoms, written as POSCAR:
```
BeGaCo3
1.0
3.8552 0.0000 0.0000
0.0000 3.8552 0.0000
0.0000 0.0000 3.8552
Be Ga Co
1 1 3
direct
0.0000 0.0000 0.0000
0.5000 0.5000 0.5000
0.0000 0.0000 0.5000
0.0000 0.5000 0.0000
0.5000 0.0000 0.0000
```

Values from the calculation:
* E_form: 0.286 eV/atom
* ΔE to the lowest computed polymorph: 0 kJ/mol of formula units


A relaxed CaY2Mo crystal. Source: the Alexandria database, functional PBE-GGA.

Cell and atoms, written as POSCAR:
```
CaY2Mo
1.0
0.0000 3.7678 3.7678
3.7678 0.0000 3.7678
3.7678 3.7678 0.0000
Ca Y Mo
1 2 1
direct
0.0000 0.0000 0.0000
0.5000 0.5000 0.5000
0.7500 0.7500 0.7500
0.2500 0.2500 0.2500
```

Values from the calculation:
* E_form: 0.598 eV/atom
* ΔE to the lowest computed polymorph: 131 kJ/mol of formula units


A relaxed FeNi3As crystal. Source: the Alexandria database, functional PBE-GGA.

Cell and atoms, written as POSCAR:
```
FeNi3As
1.0
4.2862 0.0000 0.0000
0.0000 4.2862 0.0000
0.0000 0.0000 4.2862
Fe Ni As
1 3 1
direct
0.0000 0.0000 0.0000
0.0000 0.5000 0.5000
0.5000 0.0000 0.5000
0.5000 0.5000 0.0000
0.5000 0.5000 0.5000
```

Values from the calculation:
* E_form: 0.645 eV/atom
* ΔE to the lowest computed polymorph: 0 kJ/mol of formula units


A relaxed NdYSc2Bi4 crystal. Source: the Alexandria database, functional PBE-GGA.

Cell and atoms, written as POSCAR:
```
NdYSc2Bi4
1.0
7.6247 0.0000 0.0000
0.0000 4.4150 0.0000
-2.5557 0.0000 7.2038
Nd Y Sc Bi
1 1 2 4
direct
0.0000 0.0000 0.0000
0.0000 0.5000 0.5000
0.5000 0.0000 0.5000
0.5000 0.5000 0.0000
0.2680 0.0000 0.7522
0.2708 0.5000 0.2607
0.7292 0.5000 0.7393
0.7320 0.0000 0.2478
```

Values from the calculation:
* E_form: -0.781 eV/atom


A relaxed Zr2AgHg3 crystal. Source: the Alexandria database, functional PBE-GGA.

Cell and atoms, written as POSCAR:
```
Zr2AgHg3
1.0
3.1966 0.0000 0.0000
0.0000 3.1966 0.0000
0.0000 0.0000 12.3506
Zr Ag Hg
2 1 3
direct
0.0000 0.0000 0.1701
0.0000 0.0000 0.8299
0.0000 0.0000 0.5000
0.5000 0.5000 0.0000
0.5000 0.5000 0.3393
0.5000 0.5000 0.6607
```

Values from the calculation:
* E_form: -0.098 eV/atom


A relaxed Ba5AcCd6 crystal. Source: the Alexandria database, functional PBE-GGA.

Cell and atoms, written as POSCAR:
```
Ba5AcCd6
1.0
2.9800 -8.9586 0.0000
2.9800 8.9586 0.0000
0.0000 0.0000 8.4655
Ba Ac Cd
5 1 6
direct
0.0000 0.0000 0.0000
0.3323 0.6677 0.0000
0.3321 0.6679 0.5000
0.6677 0.3323 0.0000
0.6679 0.3321 0.5000
0.0000 0.0000 0.5000
0.1618 0.8382 0.2561
0.1618 0.8382 0.7439
0.5000 0.5000 0.2649
0.5000 0.5000 0.7351
0.8382 0.1618 0.2561
0.8382 0.1618 0.7439
```

Values from the calculation:
* E_form: -0.316 eV/atom


A relaxed MnFe2Ni crystal. Source: the Alexandria database, functional PBE-GGA.

Cell and atoms, written as POSCAR:
```
MnFe2Ni
1.0
2.4800 0.0000 0.0000
0.0000 2.4800 0.0000
0.0000 0.0000 7.1756
Mn Fe Ni
1 2 1
direct
0.0000 0.0000 0.0000
0.0000 0.0000 0.5056
0.5000 0.5000 0.7556
0.5000 0.5000 0.2540
```

Values from the calculation:
* E_form: 0.048 eV/atom


A relaxed Li2NdCdAg4 crystal. Source: the Alexandria database, functional PBE-GGA.

Cell and atoms, written as POSCAR:
```
Li2NdCdAg4
1.0
2.4145 1.3940 8.0655
-2.4145 1.3940 8.0655
0.0000 -2.7880 8.0655
Li Nd Cd Ag
2 1 1 4
direct
0.2444 0.2444 0.2444
0.7556 0.7556 0.7556
0.0000 0.0000 0.0000
0.5000 0.5000 0.5000
0.1295 0.1295 0.1295
0.3862 0.3862 0.3862
0.6138 0.6138 0.6138
0.8705 0.8705 0.8705
```

Values from the calculation:
* E_form: -0.144 eV/atom


A relaxed VNiTe2Pd crystal. Source: the Alexandria database, functional PBE-GGA.

Cell and atoms, written as POSCAR:
```
VNiTe2Pd
1.0
5.2331 0.0000 0.0000
0.0000 5.2331 0.0000
0.0000 0.0000 4.6700
V Ni Te Pd
1 1 2 1
direct
0.0000 0.0000 0.0000
0.5000 0.5000 0.0000
0.0000 0.5000 0.5000
0.5000 0.0000 0.5000
0.0000 0.0000 0.5000
```

Values from the calculation:
* energy relative to the elements, uncorrected: 1.122 eV/atom


A relaxed KBaMn2 crystal. Source: the Alexandria database, functional PBE-GGA.

Cell and atoms, written as POSCAR:
```
KBaMn2
1.0
6.4200 -1.7490 0.0000
6.4200 1.7490 0.0000
-1.9696 0.0000 5.7717
K Ba Mn
1 1 2
direct
0.0000 0.0000 0.0000
0.8019 0.8019 0.3614
0.2275 0.2275 0.7959
0.5734 0.5734 0.5580
```

Values from the calculation:
* E_form: 0.817 eV/atom
* ΔE to the lowest computed polymorph: 39 kJ/mol of formula units


A relaxed MnPOs2 crystal. Source: the Alexandria database, functional PBE-GGA.

Cell and atoms, written as POSCAR:
```
MnPOs2
1.0
2.8458 0.0000 0.0000
0.0000 3.7820 0.0000
-1.2714 0.0000 5.0334
Mn P Os
1 1 2
direct
0.0000 0.0000 0.0000
0.0000 0.0000 0.5000
0.3589 0.5000 0.7393
0.6411 0.5000 0.2607
```

Values from the calculation:
* E_form: 0.080 eV/atom


A relaxed Ca2LaNd7 crystal. Source: the Alexandria database, functional PBE-GGA.

Cell and atoms, written as POSCAR:
```
Ca2LaNd7
1.0
-2.8276 3.6043 8.8616
2.8276 -3.6043 8.8616
2.8276 3.6043 -8.8616
Ca La Nd
2 1 7
direct
0.2003 0.2003 0.0000
0.7997 0.7997 0.0000
0.5000 0.0000 0.5000
0.0000 0.0000 0.0000
0.1508 0.3967 0.7541
0.3050 0.8050 0.5000
0.3575 0.6033 0.7541
0.6425 0.3967 0.2459
0.6950 0.1950 0.5000
0.8492 0.6033 0.2459
```

Values from the calculation:
* E_form: 0.088 eV/atom


A relaxed Er4PtRh3 crystal. Source: the Alexandria database, functional PBE-GGA.

Cell and atoms, written as POSCAR:
```
Er4PtRh3
1.0
4.7936 0.0000 0.0000
0.0000 4.7936 0.0000
0.0000 0.0000 6.9108
Er Pt Rh
4 1 3
direct
0.0000 0.5000 0.2488
0.0000 0.5000 0.7512
0.5000 0.0000 0.2488
0.5000 0.0000 0.7512
0.0000 0.0000 0.5000
0.0000 0.0000 0.0000
0.5000 0.5000 0.0000
0.5000 0.5000 0.5000
```

Values from the calculation:
* E_form: -1.019 eV/atom


A relaxed Tl5Br4O crystal. Source: the Alexandria database, functional PBE-GGA.

Cell and atoms, written as POSCAR:
```
Tl5Br4O
1.0
-5.0509 5.0509 3.4090
5.0509 -5.0509 3.4090
5.0509 5.0509 -3.4090
Tl Br O
5 4 1
direct
0.0000 0.0000 0.0000
0.3396 0.6740 0.8199
0.5197 0.3396 0.6657
0.6740 0.8540 0.3343
0.8540 0.5197 0.1801
0.0070 0.8093 0.6218
0.1875 0.3852 0.3782
0.3852 0.0070 0.1977
0.8093 0.1875 0.8023
0.6730 0.6730 0.0000
```

Values from the calculation:
* energy relative to the elements, uncorrected: -0.695 eV/atom


A relaxed Ca2Sb3PdPt4 crystal. Source: the Alexandria database, functional PBE-GGA.

Cell and atoms, written as POSCAR:
```
Ca2Sb3PdPt4
1.0
4.2906 0.0000 0.0000
0.0000 4.2906 0.0000
0.0000 0.0000 11.7700
Ca Sb Pd Pt
2 3 1 4
direct
0.0000 0.5000 0.2321
0.5000 0.0000 0.7679
0.0000 0.0000 0.0000
0.0000 0.5000 0.6350
0.5000 0.0000 0.3650
0.5000 0.5000 0.0000
0.0000 0.0000 0.5000
0.0000 0.5000 0.8512
0.5000 0.0000 0.1488
0.5000 0.5000 0.5000
```

Values from the calculation:
* energy relative to the elements, uncorrected: -0.685 eV/atom


A relaxed CaGe2Pt6 crystal. Source: the Alexandria database, functional PBE-GGA.

Cell and atoms, written as POSCAR:
```
CaGe2Pt6
1.0
4.7442 -3.4061 0.0000
4.7442 3.4061 0.0000
-0.9728 0.0000 5.1940
Ca Ge Pt
1 2 6
direct
0.0000 0.0000 0.0000
0.3667 0.3667 0.1523
0.6333 0.6333 0.8477
0.0661 0.4855 0.7530
0.2749 0.7251 0.5000
0.4855 0.0661 0.7530
0.5145 0.9339 0.2470
0.7251 0.2749 0.5000
0.9339 0.5145 0.2470
```

Values from the calculation:
* E_form: -0.409 eV/atom


A relaxed Ti2RhO crystal. Source: the Alexandria database, functional PBE-GGA.

Cell and atoms, written as POSCAR:
```
Ti2RhO
1.0
1.4700 0.8487 6.7416
-1.4700 0.8487 6.7416
0.0000 -1.6974 6.7416
Ti Rh O
2 1 1
direct
0.0000 0.0000 0.0000
0.2060 0.2060 0.2060
0.4346 0.4346 0.4346
0.6042 0.6042 0.6042
```

Values from the calculation:
* energy relative to the elements, uncorrected: -1.483 eV/atom


A relaxed Pu3MnGe crystal. Source: the Alexandria database, functional PBE-GGA.

Cell and atoms, written as POSCAR:
```
Pu3MnGe
1.0
6.8264 0.0000 0.0000
1.5268 6.8516 0.0000
0.3530 0.1128 8.6653
Pu Mn Ge
12 4 4
direct
0.0607 0.0537 0.1460
0.0670 0.6843 0.4213
0.2170 0.5587 0.0661
0.3040 0.9366 0.5824
0.4183 0.7946 0.9330
0.4306 0.4313 0.6413
0.5694 0.5687 0.3587
0.5817 0.2054 0.0670
0.6960 0.0634 0.4176
0.7830 0.4413 0.9339
0.9330 0.3157 0.5787
0.9393 0.9463 0.8540
0.1179 0.5848 0.7441
0.4162 0.8751 0.2761
0.5838 0.1249 0.7239
0.8821 0.4152 0.2559
0.2195 0.2216 0.8549
0.2791 0.2727 0.3385
0.7209 0.7273 0.6615
0.7805 0.7784 0.1451
```

Values from the calculation:
* E_form: -0.083 eV/atom
* ΔE to the lowest computed polymorph: 0 kJ/mol of formula units


A relaxed La2CdTc crystal. Source: the Alexandria database, functional PBE-GGA.

Cell and atoms, written as POSCAR:
```
La2CdTc
1.0
3.5788 0.0000 0.0000
0.0000 3.5789 0.0000
-0.0089 0.0000 8.3541
La Cd Tc
2 1 1
direct
0.0008 0.0000 0.2927
0.9992 0.0000 0.7073
0.5000 0.5000 0.0000
0.5000 0.5000 0.5000
```

Values from the calculation:
* E_form: -0.077 eV/atom


A relaxed BeMo2Rh crystal. Source: the Alexandria database, functional PBE-GGA.

Cell and atoms, written as POSCAR:
```
BeMo2Rh
1.0
2.7170 0.0000 0.0000
0.0000 4.1562 0.0000
-0.6236 0.0000 4.9227
Be Mo Rh
1 2 1
direct
0.0000 0.0000 0.0000
0.3881 0.0000 0.4950
0.5856 0.5000 0.2029
0.9904 0.5000 0.7406
```

Values from the calculation:
* E_form: -0.067 eV/atom


A relaxed AgSbTe2 crystal. Source: the Alexandria database, functional PBE-GGA.

Cell and atoms, written as POSCAR:
```
AgSbTe2
1.0
6.0815 0.0000 0.0000
0.0000 3.1182 0.0000
-0.0108 0.0000 6.1457
Ag Sb Te
1 1 2
direct
0.0000 0.0000 0.0000
0.5000 0.0000 0.0000
0.0000 0.0000 0.5000
0.5000 0.0000 0.5000
```

Values from the calculation:
* energy relative to the elements, uncorrected: 0.109 eV/atom


A relaxed NiRhS3 crystal. Source: the Alexandria database, functional PBE-GGA.

Cell and atoms, written as POSCAR:
```
NiRhS3
1.0
1.7344 -7.8058 0.0000
1.7344 7.8058 0.0000
0.0000 0.0000 6.5403
Ni Rh S
2 2 6
direct
0.0748 0.9252 0.7500
0.9252 0.0748 0.2500
0.3511 0.6489 0.7500
0.6489 0.3511 0.2500
0.1624 0.8376 0.0083
0.1624 0.8376 0.4917
0.4960 0.5040 0.7500
0.5040 0.4960 0.2500
0.8376 0.1624 0.5083
0.8376 0.1624 0.9917
```

Values from the calculation:
* energy relative to the elements, uncorrected: -0.216 eV/atom
* ΔE to the lowest computed polymorph: 0 kJ/mol of formula units